(1)
Density functional theory data (PBE-GGA) for a relaxed ZnSb2MoS crystal.

## Properties
VASP energy = -21.3 eV/cell
Fermi-level density of states = 4.65 states/eV per cell
total magnetization = 0.66 μB per cell
formation energy (no corrections) = 0.63 eV per atom

Structure (CIF):
```
data_ZnSb2MoS
_cell_length_a 5.1591
_cell_length_b 4.9861
_cell_length_c 5.1591
_cell_angle_alpha 90.00
_cell_angle_beta 90.00
_cell_angle_gamma 90.00
_symmetry_space_group_name_H-M 'P 1'
_symmetry_Int_Tables_number 1
_symmetry_space_group_name_Hall 'P 1'
loop_
_atom_site_label
_atom_site_fract_x
_atom_site_fract_y
_atom_site_fract_z
Mo1 0.0000 0.0000 0.0000
Zn1 0.0000 0.5000 0.0000
Sb1 0.0000 0.0000 0.5000
Sb2 0.5000 0.0000 0.0000
S1 0.5000 0.5000 0.5000
```

=====

(2)
Density functional theory data (PBE-GGA) for a relaxed PmNdEuGa crystal.

## Properties
VASP energy = -23.2 eV/cell
Fermi-level density of states = 5.13 states/eV per cell
total magnetization = 7.50 μB per cell

Structure (CIF):
```
data_PmNdEuGa
_cell_length_a 5.4809
_cell_length_b 5.4809
_cell_length_c 5.4809
_cell_angle_alpha 60.00
_cell_angle_beta 60.00
_cell_angle_gamma 60.00
_symmetry_space_group_name_H-M 'P 1'
_symmetry_Int_Tables_number 1
_symmetry_space_group_name_Hall 'P 1'
loop_
_atom_site_label
_atom_site_fract_x
_atom_site_fract_y
_atom_site_fract_z
Ga1 0.2500 0.2500 0.2500
Eu1 0.7500 0.7500 0.7500
Pm1 0.0000 0.0000 0.0000
Nd1 0.5000 0.5000 0.5000
```

=====

- What is the total magnetization in the first record?
  0.66 μB per cell